Record 1
Ba2Co3Ni: optimized geometry, PBE.

Calculated values
As for the total energy: -3.97 eV per atom. As for the space group: No. 191.

Structure (POSCAR):
```
Ba2Co3Ni
1.0
5.3235 0.0000 0.0000
-2.6618 4.6103 0.0000
0.0000 0.0000 5.5686
Ba Co Ni
2 3 1
Cartesian
0.0000 3.0735 0.0000
2.6618 1.5368 0.0000
-1.3309 2.3052 2.7843
2.6618 0.0000 2.7843
1.3309 2.3052 2.7843
0.0000 0.0000 0.0000
```

Record 2
BaNpCo: optimized geometry, PBE.

Calculated values
As for the space group: No. 216. The calculation puts the energy above the most stable polymorph in this dataset at 0.533 eV per atom.

Structure (POSCAR):
```
BaNpCo
1.0
6.5280 0.0000 0.0000
0.0000 6.5280 0.0000
0.0000 0.0000 6.5280
Ba Np Co
4 4 4
Cartesian
0.0000 0.0000 0.0000
0.0000 3.2640 3.2640
3.2640 0.0000 3.2640
3.2640 3.2640 0.0000
1.6320 1.6320 1.6320
1.6320 4.8960 4.8960
4.8960 1.6320 4.8960
4.8960 4.8960 1.6320
1.6320 1.6320 4.8960
1.6320 4.8960 1.6320
4.8960 1.6320 1.6320
4.8960 4.8960 4.8960
```

Record 3
BaNpCo: optimized geometry, PBE.

Calculated values
As for the space group: No. 216. The calculation puts the energy above the most stable polymorph in this dataset at 0.000 eV per atom.

Structure (POSCAR):
```
BaNpCo
1.0
6.9287 0.0000 0.0000
0.0000 6.9287 0.0000
0.0000 0.0000 6.9287
Ba Np Co
4 4 4
Cartesian
0.0000 0.0000 0.0000
0.0000 3.4644 3.4644
3.4644 0.0000 3.4644
3.4644 3.4644 0.0000
0.0000 0.0000 3.4644
0.0000 3.4644 0.0000
3.4644 0.0000 0.0000
3.4644 3.4644 3.4644
1.7322 1.7322 1.7322
1.7322 5.1966 5.1966
5.1966 1.7322 5.1966
5.1966 5.1966 1.7322
```